1.
Compound: ReAg2Br
Source: the Alexandria database
Functional: GGA-PBE
Structure: optimized geometry

## Properties
Calculated volume (Å³/f.u.): 73.9
Formation energy (no corrections) (meV per atom): 645
Mass density (Mg/m³): 10.83
Total magnetization (μB/atom): 0.095

The structure in CIF format:
```
data_ReAg2Br
_chemical_formula_sum 'Re3 Ag6 Br3'
_symmetry_space_group_name_H-M 'R -3 m'
_symmetry_Int_Tables_number 166
_symmetry_space_group_name_Hall '-R 3 2"'
_cell_length_a 2.9499
_cell_length_b 2.9499
_cell_length_c 29.4067
_cell_angle_alpha 90.00
_cell_angle_beta 90.00
_cell_angle_gamma 120.00
loop_
_atom_site_label
_atom_site_fract_x
_atom_site_fract_y
_atom_site_fract_z
_atom_site_occupancy
Re1 0.0000 0.0000 0.0000 1
Ag1 0.0000 0.0000 0.2555 1
Br1 0.0000 0.0000 0.5000 1
```

---

2.
Compound: Re2AgBr
Source: the Alexandria database
Functional: GGA-PBE
Structure: optimized geometry

## Properties
Calculated volume (Å³/f.u.): 64.5
Formation energy (no corrections) (meV per atom): 1595
Mass density (Mg/m³): 14.43
Total magnetization (μB/atom): 0.000

The structure in CIF format:
```
data_Re2AgBr
_chemical_formula_sum 'Re8 Ag4 Br4'
_symmetry_space_group_name_H-M 'F m -3 m'
_symmetry_Int_Tables_number 225
_symmetry_space_group_name_Hall '-F 4 2 3'
_cell_length_a 6.3656
_cell_length_b 6.3656
_cell_length_c 6.3656
_cell_angle_alpha 90.00
_cell_angle_beta 90.00
_cell_angle_gamma 90.00
loop_
_atom_site_label
_atom_site_fract_x
_atom_site_fract_y
_atom_site_fract_z
_atom_site_occupancy
Re1 0.2500 0.2500 0.2500 1
Ag1 0.0000 0.0000 0.0000 1
Br1 0.0000 0.0000 0.5000 1
```

---

3.
Compound: Re2AgBr
Source: the Alexandria database
Functional: GGA-PBE
Structure: optimized geometry

## Properties
Calculated volume (Å³/f.u.): 93.6
Formation energy (no corrections) (meV per atom): 1459
Mass density (Mg/m³): 9.94
Total magnetization (μB/atom): 0.171

The structure in CIF format:
```
data_Re2AgBr
_chemical_formula_sum 'Re2 Ag1 Br1'
_symmetry_space_group_name_H-M 'P 4/m m m'
_symmetry_Int_Tables_number 123
_symmetry_space_group_name_Hall '-P 4 2'
_cell_length_a 3.6018
_cell_length_b 3.6018
_cell_length_c 7.2151
_cell_angle_alpha 90.00
_cell_angle_beta 90.00
_cell_angle_gamma 90.00
loop_
_atom_site_label
_atom_site_fract_x
_atom_site_fract_y
_atom_site_fract_z
_atom_site_occupancy
Re1 0.0000 0.5000 0.0000 1
Ag1 0.0000 0.0000 0.5000 1
Br1 0.5000 0.5000 0.5000 1
```

---

4.
Compound: ReAg2Br
Source: the Alexandria database
Functional: GGA-PBE
Structure: optimized geometry

## Properties
Calculated volume (Å³/f.u.): 77.1
Formation energy (no corrections) (meV per atom): 1238
Mass density (Mg/m³): 10.37
Total magnetization (μB/atom): 0.729

The structure in CIF format:
```
data_ReAg2Br
_chemical_formula_sum 'Re2 Ag4 Br2'
_symmetry_space_group_name_H-M 'I 4/m m m'
_symmetry_Int_Tables_number 139
_symmetry_space_group_name_Hall '-I 4 2'
_cell_length_a 3.9444
_cell_length_b 3.9444
_cell_length_c 9.9153
_cell_angle_alpha 90.00
_cell_angle_beta 90.00
_cell_angle_gamma 90.00
loop_
_atom_site_label
_atom_site_fract_x
_atom_site_fract_y
_atom_site_fract_z
_atom_site_occupancy
Re1 0.0000 0.0000 0.0000 1
Ag1 0.0000 0.5000 0.2500 1
Br1 0.0000 0.0000 0.5000 1
```

---

5.
Compound: ReAg3Br9
Source: the Alexandria database
Functional: GGA-PBE
Structure: optimized geometry

## Properties
Calculated volume (Å³/f.u.): 469.8
Formation energy (no corrections) (meV per atom): -258
Mass density (Mg/m³): 4.34
Total magnetization (μB/atom): 0.077

The structure in CIF format:
```
data_ReAg3Br9
_chemical_formula_sum 'Re4 Ag12 Br36'
_symmetry_space_group_name_H-M 'C 1 c 1'
_symmetry_Int_Tables_number 9
_cell_length_a 13.3729
_cell_length_b 10.6399
_cell_length_c 13.7865
_cell_angle_alpha 90.00
_cell_angle_beta 106.67
_cell_angle_gamma 90.00
loop_
_symmetry_equiv_pos_as_xyz
'x,y,z'
'x,-y,z+1/2'
'x+1/2,y+1/2,z'
'x+1/2,-y+1/2,z+1/2'
loop_
_atom_site_label
_atom_site_fract_x
_atom_site_fract_y
_atom_site_fract_z
_atom_site_occupancy
Re1 0.0000 0.1852 0.0000 1
Ag1 0.2561 0.4390 0.0085 1
Ag2 0.3167 0.0949 0.1279 1
Ag3 0.4595 0.0627 0.8975 1
Br1 0.0565 0.3032 0.8669 1
Br2 0.1147 0.0089 0.9860 1
Br3 0.1392 0.3722 0.5091 1
Br4 0.1458 0.2878 0.1314 1
Br5 0.2871 0.0560 0.7582 1
Br6 0.3533 0.4164 0.3703 1
Br7 0.3793 0.2509 0.0173 1
Br8 0.3816 0.1371 0.5076 1
Br9 0.4466 0.4257 0.6352 1
```

---

6.
Compound: Re2AgBr
Source: the Alexandria database
Functional: GGA-PBE
Structure: optimized geometry

## Properties
Calculated volume (Å³/f.u.): 84.6
Formation energy (no corrections) (meV per atom): 1088
Mass density (Mg/m³): 10.99
Total magnetization (μB/atom): 0.000

The structure in CIF format:
```
data_Re2AgBr
_chemical_formula_sum 'Re2 Ag1 Br1'
_symmetry_space_group_name_H-M 'P 1 2/m 1'
_symmetry_Int_Tables_number 10
_cell_length_a 3.5387
_cell_length_b 4.9508
_cell_length_c 4.9126
_cell_angle_alpha 90.00
_cell_angle_beta 100.43
_cell_angle_gamma 90.00
loop_
_symmetry_equiv_pos_as_xyz
'x,y,z'
'-x,-y,-z'
'-x,y,-z'
'x,-y,z'
loop_
_atom_site_label
_atom_site_fract_x
_atom_site_fract_y
_atom_site_fract_z
_atom_site_occupancy
Re1 0.1956 0.0000 0.3377 1
Ag1 0.5000 0.5000 0.5000 1
Br1 0.0000 0.5000 0.0000 1
```

---

7.
Compound: ReAg2Br
Source: the Alexandria database
Functional: GGA-PBE
Structure: optimized geometry

## Properties
Calculated volume (Å³/f.u.): 84.3
Formation energy (no corrections) (meV per atom): 1181
Mass density (Mg/m³): 9.49
Total magnetization (μB/atom): 0.867

The structure in CIF format:
```
data_ReAg2Br
_chemical_formula_sum 'Re4 Ag8 Br4'
_symmetry_space_group_name_H-M 'I -4 2 d'
_symmetry_Int_Tables_number 122
_symmetry_space_group_name_Hall 'I -4 2bw'
_cell_length_a 7.8537
_cell_length_b 7.8537
_cell_length_c 5.4700
_cell_angle_alpha 90.00
_cell_angle_beta 90.00
_cell_angle_gamma 90.00
loop_
_atom_site_label
_atom_site_fract_x
_atom_site_fract_y
_atom_site_fract_z
_atom_site_occupancy
Re1 0.0000 0.0000 0.0000 1
Ag1 0.2382 0.2500 0.1250 1
Br1 0.0000 0.0000 0.5000 1
```

---

8.
Compound: ReAg2Br
Source: the Alexandria database
Functional: GGA-PBE
Structure: optimized geometry

## Properties
Calculated volume (Å³/f.u.): 77.2
Formation energy (no corrections) (meV per atom): 741
Mass density (Mg/m³): 10.36
Total magnetization (μB/atom): 0.000

The structure in CIF format:
```
data_ReAg2Br
_chemical_formula_sum 'Re1 Ag2 Br1'
_symmetry_space_group_name_H-M 'P 4 m m'
_symmetry_Int_Tables_number 99
_cell_length_a 3.0163
_cell_length_b 3.0163
_cell_length_c 8.4904
_cell_angle_alpha 90.00
_cell_angle_beta 90.00
_cell_angle_gamma 90.00
loop_
_symmetry_equiv_pos_as_xyz
'x,y,z'
'-y,x,z'
'-x,-y,z'
'y,-x,z'
'-x,y,z'
'y,x,z'
'x,-y,z'
'-y,-x,z'
loop_
_atom_site_label
_atom_site_fract_x
_atom_site_fract_y
_atom_site_fract_z
_atom_site_occupancy
Re1 0.0000 0.0000 0.0000 1
Ag1 0.0000 0.0000 0.4652 1
Ag2 0.5000 0.5000 0.2338 1
Br1 0.5000 0.5000 0.8249 1
```

---

9.
Compound: ReAgBr6
Source: the Alexandria database
Functional: GGA-PBE
Structure: optimized geometry

## Properties
Calculated volume (Å³/f.u.): 264.8
Formation energy (no corrections) (meV per atom): -233
Mass density (Mg/m³): 4.85
Total magnetization (μB/atom): 0.298

The structure in CIF format:
```
data_ReAgBr6
_chemical_formula_sum 'Re2 Ag2 Br12'
_symmetry_space_group_name_H-M 'C 1 2/m 1'
_symmetry_Int_Tables_number 12
_cell_length_a 6.9902
_cell_length_b 11.9921
_cell_length_c 6.8579
_cell_angle_alpha 90.00
_cell_angle_beta 112.91
_cell_angle_gamma 90.00
loop_
_symmetry_equiv_pos_as_xyz
'x,y,z'
'-x,-y,-z'
'-x,y,-z'
'x,-y,z'
'x+1/2,y+1/2,z'
'-x+1/2,-y+1/2,-z'
'-x+1/2,y+1/2,-z'
'x+1/2,-y+1/2,z'
loop_
_atom_site_label
_atom_site_fract_x
_atom_site_fract_y
_atom_site_fract_z
_atom_site_occupancy
Re1 0.0000 0.0000 0.0000 1
Ag1 0.0000 0.5000 0.5000 1
Br1 0.2176 0.0000 0.7899 1
Br2 0.2263 0.1507 0.2363 1
```

---

10.
Compound: Re2AgBr
Source: the Alexandria database
Functional: GGA-PBE
Structure: optimized geometry

## Properties
Calculated volume (Å³/f.u.): 67.3
Formation energy (no corrections) (meV per atom): 1306
Mass density (Mg/m³): 13.82
Total magnetization (μB/atom): 0.000

The structure in CIF format:
```
data_Re2AgBr
_chemical_formula_sum 'Re4 Ag2 Br2'
_symmetry_space_group_name_H-M 'I -4 m 2'
_symmetry_Int_Tables_number 119
_symmetry_space_group_name_Hall 'I -4 -2'
_cell_length_a 4.3690
_cell_length_b 4.3690
_cell_length_c 7.0501
_cell_angle_alpha 90.00
_cell_angle_beta 90.00
_cell_angle_gamma 90.00
loop_
_atom_site_label
_atom_site_fract_x
_atom_site_fract_y
_atom_site_fract_z
_atom_site_occupancy
Re1 0.0000 0.0000 0.0000 1
Re2 0.0000 0.5000 0.2500 1
Ag1 0.0000 0.5000 0.7500 1
Br1 0.0000 0.0000 0.5000 1
```